[1]
Below is a relaxed structure of BaYSi, with properties calculated at the PBE level.

abc: 4.9211 4.9211 4.9406
angles: 90.00 90.00 120.00
Space group P3m1 (No. 156)
Asymmetric unit:
1 Ba 0.0000 0.0000 0.0000 x1
2 Y 0.3333 0.6667 0.5002 x1
3 Si 0.6667 0.3333 0.4980 x1

Output
As for the formation energy without anion corrections: -0.25 eV/atom. The value obtained for the calculated density is 4.1 Mg/m³. The magnetic moment is 0.0000 μB per atom.

[2]
Below is a relaxed structure of Sm5HoBi6, with properties calculated at the PBE level.

abc: 7.869 13.631 7.868
angles: 90.00 109.50 90.00
Space group C2/m (No. 12)
Asymmetric unit:
1 Sm 0.000 0.000 0.000 x2
2 Sm 0.000 0.166 0.500 x4
3 Sm 0.000 0.332 0.000 x4
4 Ho 0.000 0.500 0.500 x2
5 Bi 0.247 0.335 0.747 x8
6 Bi 0.247 0.500 0.251 x4

Output
The formation energy is -10.91 eV per formula unit. The value obtained for the calculated density is 9.1 Mg/m³. The magnetic moment is 0.0000 μB per atom.

[3]
Below is a relaxed structure of TiCd3Ag, with properties calculated at the PBE level.

abc: 5.075 5.075 5.075
angles: 90.00 90.00 90.00
Space group Pm-3m (No. 221)
Asymmetric unit:
1 Ti 0.000 0.000 0.000 x1
2 Cd 0.000 0.500 0.500 x3
3 Ag 0.500 0.500 0.500 x1

Output
The excess energy over the best structure of this formula in the dataset comes out at 0.0 meV/atom. The formation energy is 3.78 eV per formula unit. The value obtained for the calculated density is 6.3 Mg/m³. The magnetic moment is 0.0000 μB per atom.

[4]
Below is a relaxed structure of KSr2Mg, with properties calculated at the PBE level.

abc: 8.031 12.897 4.018
angles: 90.00 112.17 90.00
Space group C2/m (No. 12)
Asymmetric unit:
1 K 0.000 0.000 0.000 x2
2 Sr 0.250 0.250 0.500 x4
3 Mg 0.000 0.500 0.000 x2

Output
The formation energy is 0.72 eV per formula unit. The value obtained for the calculated density is 2.1 Mg/m³. The magnetic moment is 0.0000 μB per atom.

[5]
Below is a relaxed structure of Ba2PuTiS6, with properties calculated at the PBE level.

abc: 12.220 7.033 7.182
angles: 90.00 125.49 90.00
Space group C2/m (No. 12)
Asymmetric unit:
1 Ba 0.247 0.000 0.242 x4
2 Pu 0.000 0.000 0.500 x2
3 Ti 0.000 0.500 0.000 x2
4 S 0.035 0.258 0.795 x8
5 S 0.240 0.500 0.304 x4

Output
As for the formation energy without anion corrections: -1.66 eV/atom. The value obtained for the calculated density is 5.0 Mg/m³. The magnetic moment is 0.4000 μB per atom.

[6]
Below is a relaxed structure of Tm3IrAu, with properties calculated at the PBE level.

abc: 4.244 6.848 8.592
angles: 90.00 90.00 90.00
Space group Pmmn (No. 59, origin choice 2)
Asymmetric unit:
1 Tm 0.250 0.005 0.161 x4
2 Tm 0.250 0.250 0.563 x2
3 Ir 0.250 0.250 0.890 x2
4 Au 0.250 0.750 0.664 x2

Output
The formation energy is -3.83 eV per formula unit. The value obtained for the calculated density is 11.9 Mg/m³. The magnetic moment is 0.0000 μB per atom.

[7]
Below is a relaxed structure of Pu6VSb10, with properties calculated at the PBE level.

abc: 9.1090 9.1090 6.0849
angles: 90.00 90.00 120.00
Space group P-31m (No. 162)
Asymmetric unit:
1 Pu 0.0000 0.3875 0.2513 x6
2 V 0.0000 0.0000 0.5000 x1
3 Sb 0.0000 0.2441 0.7604 x6
4 Sb 0.3333 0.6667 0.0000 x2
5 Sb 0.3333 0.6667 0.5000 x2

Output
As for the formation energy without anion corrections: -0.50 eV/atom. The value obtained for the calculated density is 10.4 Mg/m³. The magnetic moment is 1.8181 μB per atom.

What is the formula in the fourth record?
KSr2Mg

Among the records above, which one has the highest magnetic moment?
Pu6VSb10

Look up the magnetic moment of the fourth one.
0.0000 μB per atom

Among the records above, which one has the highest magnetic moment?
Pu6VSb10